Entry a
GeBOs: optimized geometry, PBE-GGA. Values from VASP.

M_tot = 0.00 μB per formula unit
density of states at the Fermi level = 1.132 states/eV/f.u.

Quantum ESPRESSO input file:
```
&SYSTEM
  ibrav = 0, nat = 12, ntyp = 3
/
ATOMIC_SPECIES
Ge 72.64 Ge.upf
B 10.81 B.upf
Os 190.23 Os.upf
CELL_PARAMETERS angstrom
-2.9779 3.6761 1.1422
-1.9602 -0.9638 -2.0083
-2.4249 -9.9957 7.1639
ATOMIC_POSITIONS crystal
Ge 0.2787 0.0000 0.2577
Ge 0.7213 0.0000 0.7423
Ge 0.2787 0.5000 0.7577
Ge 0.7213 0.5000 0.2423
B 0.5000 0.0000 0.5000
B 0.5000 0.5000 0.0000
B 0.0000 0.5000 0.0000
B 0.0000 0.0000 0.5000
Os 0.1791 0.0000 0.9222
Os 0.8209 0.0000 0.0778
Os 0.1791 0.5000 0.4222
Os 0.8209 0.5000 0.5778
```


Entry b
GeBOs: optimized geometry, PBE-GGA. Values from VASP.

M_tot = 0.00 μB per formula unit

Quantum ESPRESSO input file:
```
&SYSTEM
  ibrav = 0, nat = 12, ntyp = 3
/
ATOMIC_SPECIES
Ge 72.64 Ge.upf
B 10.81 B.upf
Os 190.23 Os.upf
CELL_PARAMETERS angstrom
4.8179 0.0000 0.0008
0.0000 5.2848 0.0000
-0.0203 0.0000 6.5415
ATOMIC_POSITIONS crystal
Ge 0.5992 0.9570 0.1954
Ge 0.4008 0.9570 0.8046
Ge 0.5992 0.4570 0.6954
Ge 0.4008 0.4570 0.3046
B 0.0000 0.1648 0.0000
B 0.0000 0.6648 0.5000
B 0.0000 0.5062 0.0000
B 0.0000 0.0062 0.5000
Os 0.8958 0.3274 0.2942
Os 0.1042 0.3274 0.7058
Os 0.8958 0.8274 0.7942
Os 0.1042 0.8274 0.2058
```


Relative energies, unit meV/atom: entry a 111; entry b 0


Entry a
GeBOs: optimized geometry, PBE-GGA. Values from VASP.

M_tot = 0.00 μB per formula unit
density of states at the Fermi level = 0.084 states/eV/f.u.

Quantum ESPRESSO input file:
```
&SYSTEM
  ibrav = 0, nat = 12, ntyp = 3
/
ATOMIC_SPECIES
Ge 72.64 Ge.upf
B 10.81 B.upf
Os 190.23 Os.upf
CELL_PARAMETERS angstrom
7.4982 0.0000 -0.0004
0.0000 3.0242 0.0000
-4.9113 0.0000 7.3453
ATOMIC_POSITIONS crystal
Ge 0.1158 0.0000 0.3905
Ge 0.1158 0.5000 0.8905
Ge 0.6133 0.0000 0.2637
Ge 0.6133 0.5000 0.7637
B 0.2917 0.0000 0.8068
B 0.2917 0.5000 0.3068
B 0.7708 0.0000 0.0649
B 0.7708 0.5000 0.5649
Os 0.9700 0.0000 0.5903
Os 0.9700 0.5000 0.0903
Os 0.5185 0.0000 0.4948
Os 0.5185 0.5000 0.9948
```


Entry b
GeBOs: optimized geometry, PBE-GGA. Values from VASP.

M_tot = 0.00 μB per formula unit
density of states at the Fermi level = 0.632 states/eV/f.u.

Quantum ESPRESSO input file:
```
&SYSTEM
  ibrav = 0, nat = 12, ntyp = 3
/
ATOMIC_SPECIES
Ge 72.64 Ge.upf
B 10.81 B.upf
Os 190.23 Os.upf
CELL_PARAMETERS angstrom
-4.0204 2.1969 -0.5048
-0.4205 -1.3707 -2.6169
-5.1991 -8.3211 5.1938
ATOMIC_POSITIONS crystal
Ge 0.0000 0.0000 0.3233
Ge 0.0000 0.5000 0.8233
Ge 0.5000 0.0000 0.9119
Ge 0.5000 0.5000 0.4119
B 0.6864 0.0000 0.5886
B 0.3136 0.0000 0.5886
B 0.6864 0.5000 0.0886
B 0.3136 0.5000 0.0886
Os 0.0000 0.0000 0.0244
Os 0.0000 0.5000 0.5244
Os 0.5000 0.0000 0.2134
Os 0.5000 0.5000 0.7134
```


Entry c
GeBOs: optimized geometry, PBE-GGA. Values from VASP.

M_tot = 0.00 μB per formula unit
density of states at the Fermi level = 1.119 states/eV/f.u.

Quantum ESPRESSO input file:
```
&SYSTEM
  ibrav = 0, nat = 6, ntyp = 3
/
ATOMIC_SPECIES
Ge 72.64 Ge.upf
B 10.81 B.upf
Os 190.23 Os.upf
CELL_PARAMETERS angstrom
-1.2910 2.6410 0.0827
-2.7401 -1.4614 3.8933
4.3189 0.5716 3.2542
ATOMIC_POSITIONS crystal
Ge 0.1954 0.9699 0.3887
Ge 0.8046 0.4699 0.6113
B 0.0549 0.2967 0.1267
B 0.9451 0.7967 0.8733
Os 0.4207 0.1233 0.8530
Os 0.5793 0.6233 0.1470
```


Relative energies, unit meV/atom: entry a 22; entry b 0; entry c 28


Entry a
GeBOs3: optimized geometry, PBE-GGA. Values from VASP.

M_tot = 2.36 μB per formula unit
density of states at the Fermi level = 6.292 states/eV/f.u.

Quantum ESPRESSO input file:
```
&SYSTEM
  ibrav = 0, nat = 5, ntyp = 3
/
ATOMIC_SPECIES
Ge 72.64 Ge.upf
B 10.81 B.upf
Os 190.23 Os.upf
CELL_PARAMETERS angstrom
4.5090 0.0000 0.0000
0.0000 4.5090 0.0000
0.0000 0.0000 4.5090
ATOMIC_POSITIONS crystal
Ge 0.0000 0.0000 0.0000
B 0.5000 0.5000 0.5000
Os 0.0000 0.5000 0.0000
Os 0.0000 0.0000 0.5000
Os 0.5000 0.0000 0.0000
```


Entry b
GeBOs3: optimized geometry, PBE-GGA. Values from VASP.

M_tot = 0.36 μB per formula unit
density of states at the Fermi level = 4.519 states/eV/f.u.

Quantum ESPRESSO input file:
```
&SYSTEM
  ibrav = 0, nat = 5, ntyp = 3
/
ATOMIC_SPECIES
Ge 72.64 Ge.upf
B 10.81 B.upf
Os 190.23 Os.upf
CELL_PARAMETERS angstrom
-3.1225 2.3026 -1.3104
-1.1576 -3.0076 -2.5265
-2.3831 -1.5561 2.9443
ATOMIC_POSITIONS crystal
Ge 0.5000 0.5000 0.5000
B 0.0000 0.0000 0.0000
Os 0.0000 0.5000 0.0000
Os 0.0000 0.0000 0.5000
Os 0.5000 0.0000 0.0000
```


Relative energies, unit meV/atom: entry a 2209; entry b 0


Entry a
Ge2BP: optimized geometry, PBE-GGA. Values from VASP.

M_tot = 0.00 μB per formula unit
density of states at the Fermi level = 0.000 states/eV/f.u.

Quantum ESPRESSO input file:
```
&SYSTEM
  ibrav = 0, nat = 8, ntyp = 3
/
ATOMIC_SPECIES
P 30.97 P.upf
Ge 72.64 Ge.upf
B 10.81 B.upf
CELL_PARAMETERS angstrom
-1.8571 4.6570 -1.2556
-0.6565 -1.5770 -4.8780
-6.0002 -0.0415 -1.9171
ATOMIC_POSITIONS crystal
P 0.0000 0.0000 0.0000
P 0.7500 0.2500 0.5000
Ge 0.5755 0.1250 0.2500
Ge 0.1745 0.6250 0.2500
Ge 0.3750 0.4245 0.7500
Ge 0.8750 0.8255 0.7500
B 0.5000 0.5000 0.0000
B 0.2500 0.7500 0.5000
```


Entry b
Ge2BP: optimized geometry, PBE-GGA. Values from VASP.

M_tot = 0.00 μB per formula unit
density of states at the Fermi level = 2.951 states/eV/f.u.

Quantum ESPRESSO input file:
```
&SYSTEM
  ibrav = 0, nat = 4, ntyp = 3
/
ATOMIC_SPECIES
P 30.97 P.upf
Ge 72.64 Ge.upf
B 10.81 B.upf
CELL_PARAMETERS angstrom
-1.4115 -3.8651 -1.4982
-4.0058 -1.4245 1.0491
-3.1383 -0.1522 -3.0503
ATOMIC_POSITIONS crystal
P 0.5000 0.5000 0.5000
Ge 0.2500 0.2500 0.2500
Ge 0.7500 0.7500 0.7500
B 0.0000 0.0000 0.0000
```


Relative energies, unit meV/atom: entry a 0; entry b 1016


Entry a
PaGeB: optimized geometry, PBE-GGA. Values from VASP.

M_tot = 0.00 μB per formula unit
density of states at the Fermi level = 4.820 states/eV/f.u.

Quantum ESPRESSO input file:
```
&SYSTEM
  ibrav = 0, nat = 3, ntyp = 3
/
ATOMIC_SPECIES
Ge 72.64 Ge.upf
Pa 231.04 Pa.upf
B 10.81 B.upf
CELL_PARAMETERS angstrom
3.1361 0.0000 0.0000
0.0000 3.1361 0.0000
-1.5681 -1.5681 4.9949
ATOMIC_POSITIONS crystal
Ge 0.5763 0.5763 0.1526
Pa 0.2939 0.2939 0.5878
B 0.9798 0.9798 0.9596
```


Entry b
PaGeB: optimized geometry, PBE-GGA. Values from VASP.

M_tot = 0.00 μB per formula unit
density of states at the Fermi level = 3.911 states/eV/f.u.

Quantum ESPRESSO input file:
```
&SYSTEM
  ibrav = 0, nat = 6, ntyp = 3
/
ATOMIC_SPECIES
Pa 231.04 Pa.upf
Ge 72.64 Ge.upf
B 10.81 B.upf
CELL_PARAMETERS angstrom
-0.9910 -0.7294 3.5340
-0.1520 -4.5442 -0.9805
6.6403 2.0866 0.3115
ATOMIC_POSITIONS crystal
Pa 0.6419 0.1416 0.2838
Pa 0.3581 0.8584 0.7162
Ge 0.1238 0.6236 0.2477
Ge 0.8762 0.3764 0.7523
B 0.0000 0.8250 0.0000
B 0.0000 0.1750 0.0000
```


Relative energies, unit meV/atom: entry a 524; entry b 0


Entry a
GeB3Pb: optimized geometry, PBE-GGA. Values from VASP.

M_tot = 0.00 μB per formula unit
density of states at the Fermi level = 4.145 states/eV/f.u.

Quantum ESPRESSO input file:
```
&SYSTEM
  ibrav = 0, nat = 5, ntyp = 3
/
ATOMIC_SPECIES
Pb 207.20 Pb.upf
Ge 72.64 Ge.upf
B 10.81 B.upf
CELL_PARAMETERS angstrom
-2.4463 3.7863 1.0936
-3.8914 -2.1169 -1.3758
-0.6240 -1.6430 4.2928
ATOMIC_POSITIONS crystal
Pb 0.0000 0.0000 0.0000
Ge 0.5000 0.5000 0.5000
B 0.0000 0.5000 0.0000
B 0.0000 0.0000 0.5000
B 0.5000 0.0000 0.0000
```


Entry b
GeB3Pb: optimized geometry, PBE-GGA. Values from VASP.

M_tot = 0.00 μB per formula unit
density of states at the Fermi level = 2.680 states/eV/f.u.

Quantum ESPRESSO input file:
```
&SYSTEM
  ibrav = 0, nat = 5, ntyp = 3
/
ATOMIC_SPECIES
Pb 207.20 Pb.upf
Ge 72.64 Ge.upf
B 10.81 B.upf
CELL_PARAMETERS angstrom
-1.4314 -3.9462 0.8182
3.7024 -1.6306 -1.3872
1.5919 0.2441 3.9619
ATOMIC_POSITIONS crystal
Pb 0.5000 0.5000 0.5000
Ge 0.0000 0.0000 0.0000
B 0.0000 0.5000 0.0000
B 0.0000 0.0000 0.5000
B 0.5000 0.0000 0.0000
```


Relative energies, unit meV/atom: entry a 833; entry b 0